LiScMo2: relaxed, PBEsol.

## Properties
**E_form**: 0.335 eV/atom
**N(E_F)**: 0.73 states/eV/atom
**ΔE to the lowest computed polymorph**: 0.049 eV per atom
**Energy**: -7.691 eV/atom

Cell: 3.715 3.715 9.296 Å, 90.00 90.00 90.00°
Fractional positions:
Li 0.000 0.000 0.000
Li 0.500 0.500 0.500
Sc 0.000 0.000 0.500
Sc 0.500 0.500 0.000
Mo 0.000 0.500 0.250
Mo 0.000 0.500 0.750
Mo 0.500 0.000 0.250
Mo 0.500 0.000 0.750